Record 1
# Tb3TmN, relaxed, DFT GGA-PBE
# - Raw formation energy: -0.527 eV/atom
# - Total DFT energy (no corrections): -5.865 eV per atom
data_Tb3TmN
_chemical_formula_sum 'Tb3 Tm1 N1'
_cell_length_a 4.969
_cell_length_b 4.969
_cell_length_c 4.969
_cell_angle_alpha 90.00
_cell_angle_beta 90.00
_cell_angle_gamma 90.00
_space_group_name_H-M_alt 'P 1'
_space_group_IT_number 1
loop_
_space_group_symop_operation_xyz
'x,y,z'
loop_
_atom_site_label
_atom_site_fract_x
_atom_site_fract_y
_atom_site_fract_z
Tm1 0.500 0.500 0.500
Tb1 0.000 0.500 0.000
Tb2 0.000 0.000 0.500
Tb3 0.500 0.000 0.000
N1 0.000 0.000 0.000



Record 2
# TbTm3N4, relaxed, DFT GGA-PBE
# - Raw formation energy: -1.781 eV/atom
# - Distance to the lowest polymorph of the same formula: 0.000 eV per atom
# - Total DFT energy (no corrections): -8.199 eV per atom
data_TbTm3N4
_chemical_formula_sum 'Tb2 Tm6 N8'
_cell_length_a 5.935
_cell_length_b 5.935
_cell_length_c 6.857
_cell_angle_alpha 90.00
_cell_angle_beta 90.00
_cell_angle_gamma 109.47
_space_group_name_H-M_alt 'P 1'
_space_group_IT_number 1
loop_
_space_group_symop_operation_xyz
'x,y,z'
loop_
_atom_site_label
_atom_site_fract_x
_atom_site_fract_y
_atom_site_fract_z
Tm1 0.750 0.000 0.376
Tm2 0.250 0.000 0.624
Tm3 0.750 0.500 0.624
Tm4 0.750 0.500 0.126
Tm5 0.250 0.500 0.376
Tm6 0.250 0.500 0.874
Tb1 0.750 0.000 0.874
Tb2 0.250 0.000 0.126
N1 0.003 0.251 0.623
N2 0.499 0.254 0.872
N3 0.503 0.251 0.377
N4 0.999 0.254 0.128
N5 0.001 0.746 0.872
N6 0.497 0.749 0.623
N7 0.501 0.746 0.128
N8 0.997 0.749 0.377



Record 3
# TbTm2N3, relaxed, DFT GGA-PBE
# - Raw formation energy: -1.768 eV/atom
# - Total DFT energy (no corrections): -8.192 eV per atom
data_TbTm2N3
_chemical_formula_sum 'Tb2 Tm4 N6'
_cell_length_a 5.950
_cell_length_b 5.950
_cell_length_c 5.949
_cell_angle_alpha 99.59
_cell_angle_beta 99.59
_cell_angle_gamma 120.00
_space_group_name_H-M_alt 'P 1'
_space_group_IT_number 1
loop_
_space_group_symop_operation_xyz
'x,y,z'
loop_
_atom_site_label
_atom_site_fract_x
_atom_site_fract_y
_atom_site_fract_z
Tb1 0.000 0.000 0.000
Tb2 0.667 0.333 0.000
Tm1 0.833 0.167 0.500
Tm2 0.333 0.667 0.000
Tm3 0.167 0.833 0.500
Tm4 0.499 0.501 0.500
N1 0.578 0.912 0.746
N2 0.088 0.422 0.254
N3 0.919 0.582 0.746
N4 0.249 0.252 0.746
N5 0.418 0.081 0.254
N6 0.748 0.751 0.254